(i)
Material: SrCu3Rh
Method: DFT, PBE-GGA
State: optimized geometry

The structure in CIF format:
```
data_SrCu3Rh
_cell_length_a 4.905
_cell_length_b 4.905
_cell_length_c 4.905
_cell_angle_alpha 90.00
_cell_angle_beta 90.00
_cell_angle_gamma 90.00
_space_group_name_H-M_alt 'P 1'
_space_group_IT_number 1
loop_
_space_group_symop_operation_xyz
'x,y,z'
loop_
_atom_site_label
_atom_site_type_symbol
_atom_site_fract_x
_atom_site_fract_y
_atom_site_fract_z
_atom_site_occupancy
Sr1 Sr 0.000 0.000 0.000 1
Rh1 Rh 0.500 0.500 0.500 1
Cu1 Cu 0.000 0.500 0.000 1
Cu2 Cu 0.000 0.000 0.500 1
Cu3 Cu 0.500 0.000 0.000 1
```

Space-group type: No. 221
Total moment: 0.0 μB per formula unit
Volume: 118.03 Å³/f.u.

(ii)
Material: SrCu3Rh
Method: DFT, PBE-GGA
State: optimized geometry

The structure in CIF format:
```
data_SrCu3Rh
_cell_length_a 4.190
_cell_length_b 8.430
_cell_length_c 10.373
_cell_angle_alpha 90.00
_cell_angle_beta 90.00
_cell_angle_gamma 90.00
_space_group_name_H-M_alt 'P 1'
_space_group_IT_number 1
loop_
_space_group_symop_operation_xyz
'x,y,z'
loop_
_atom_site_label
_atom_site_type_symbol
_atom_site_fract_x
_atom_site_fract_y
_atom_site_fract_z
_atom_site_occupancy
Sr1 Sr 0.750 0.808 0.966 1
Sr2 Sr 0.250 0.692 0.466 1
Sr3 Sr 0.750 0.308 0.534 1
Sr4 Sr 0.250 0.192 0.034 1
Cu1 Cu 0.250 0.635 0.136 1
Cu2 Cu 0.750 0.365 0.864 1
Cu3 Cu 0.250 0.135 0.364 1
Cu4 Cu 0.750 0.865 0.636 1
Cu5 Cu 0.250 0.277 0.755 1
Cu6 Cu 0.750 0.223 0.255 1
Cu7 Cu 0.250 0.777 0.745 1
Cu8 Cu 0.750 0.603 0.735 1
Cu9 Cu 0.250 0.397 0.265 1
Cu10 Cu 0.750 0.103 0.765 1
Cu11 Cu 0.750 0.723 0.245 1
Cu12 Cu 0.250 0.897 0.235 1
Rh1 Rh 0.250 0.037 0.603 1
Rh2 Rh 0.250 0.537 0.897 1
Rh3 Rh 0.750 0.463 0.103 1
Rh4 Rh 0.750 0.963 0.397 1
```

Space-group type: No. 62
Total moment: 0.0 μB per formula unit
Volume: 91.60 Å³/f.u.

Which is the most stable structure? (ii) is the most stable.

(i)
Material: SrCu3Rh
Method: DFT, PBE-GGA
State: optimized geometry

The structure in CIF format:
```
data_SrCu3Rh
_cell_length_a 4.748
_cell_length_b 4.748
_cell_length_c 4.748
_cell_angle_alpha 90.00
_cell_angle_beta 90.00
_cell_angle_gamma 90.00
_space_group_name_H-M_alt 'P 1'
_space_group_IT_number 1
loop_
_space_group_symop_operation_xyz
'x,y,z'
loop_
_atom_site_label
_atom_site_type_symbol
_atom_site_fract_x
_atom_site_fract_y
_atom_site_fract_z
_atom_site_occupancy
Sr1 Sr 0.500 0.500 0.500 1
Rh1 Rh 0.000 0.000 0.000 1
Cu1 Cu 0.000 0.500 0.000 1
Cu2 Cu 0.000 0.000 0.500 1
Cu3 Cu 0.500 0.000 0.000 1
```

Space-group type: No. 221
Total moment: 0.0 μB per formula unit
Volume: 107.02 Å³/f.u.

(ii)
Material: SrCu3Rh
Method: DFT, PBE-GGA
State: optimized geometry

The structure in CIF format:
```
data_SrCu3Rh
_cell_length_a 5.083
_cell_length_b 5.687
_cell_length_c 6.715
_cell_angle_alpha 115.05
_cell_angle_beta 90.00
_cell_angle_gamma 90.00
_space_group_name_H-M_alt 'P 1'
_space_group_IT_number 1
loop_
_space_group_symop_operation_xyz
'x,y,z'
loop_
_atom_site_label
_atom_site_type_symbol
_atom_site_fract_x
_atom_site_fract_y
_atom_site_fract_z
_atom_site_occupancy
Sr1 Sr 0.250 0.398 0.795 1
Sr2 Sr 0.750 0.602 0.205 1
Cu1 Cu 0.250 0.810 0.620 1
Cu2 Cu 0.750 0.190 0.380 1
Cu3 Cu 0.250 0.375 0.315 1
Cu4 Cu 0.750 0.625 0.685 1
Cu5 Cu 0.250 0.940 0.315 1
Cu6 Cu 0.750 0.060 0.685 1
Rh1 Rh 0.000 0.000 0.000 1
Rh2 Rh 0.500 0.000 0.000 1
```

Space-group type: No. 63
Total moment: 0.3 μB per formula unit
Volume: 87.93 Å³/f.u.

Which is the most stable structure? (ii) is the most stable.